This record from the Alexandria database describes a relaxed Sr2CoOs crystal. The functional is PBEsol.

**Volume**: 87 Å³ per cell
**ΔH_f (0 K)**: 1.078 eV per atom

Geometry as CIF:
```
data_Sr2CoOs
_cell_length_a 4.297
_cell_length_b 4.489
_cell_length_c 4.489
_cell_angle_alpha 90.00
_cell_angle_beta 90.00
_cell_angle_gamma 90.00
_space_group_name_H-M_alt 'P 1'
_space_group_IT_number 1
loop_
_space_group_symop_operation_xyz
'x,y,z'
loop_
_atom_site_label
_atom_site_fract_x
_atom_site_fract_y
_atom_site_fract_z
Co1 0.500 0.500 0.500
Os1 0.500 0.000 0.000
Sr1 0.000 0.000 0.500
Sr2 0.000 0.500 0.000
```



This record from the Alexandria database describes a relaxed SrCo2Os crystal. The functional is PBEsol.

**Volume**: 62 Å³ per cell
**ΔH_f (0 K)**: 0.891 eV per atom

Geometry as CIF:
```
data_SrCo2Os
_cell_length_a 4.452
_cell_length_b 4.452
_cell_length_c 4.452
_cell_angle_alpha 60.00
_cell_angle_beta 60.00
_cell_angle_gamma 60.00
_space_group_name_H-M_alt 'P 1'
_space_group_IT_number 1
loop_
_space_group_symop_operation_xyz
'x,y,z'
loop_
_atom_site_label
_atom_site_fract_x
_atom_site_fract_y
_atom_site_fract_z
Sr1 0.500 0.500 0.500
Os1 0.000 0.000 0.000
Co1 0.250 0.250 0.250
Co2 0.750 0.750 0.750
```



This record from the Alexandria database describes a relaxed Sr2CoOs crystal. The functional is PBEsol.

**Volume**: 97 Å³ per cell
**ΔH_f (0 K)**: 0.488 eV per atom

Geometry as CIF:
```
data_Sr2CoOs
_cell_length_a 3.997
_cell_length_b 5.010
_cell_length_c 5.816
_cell_angle_alpha 115.51
_cell_angle_beta 110.10
_cell_angle_gamma 90.00
_space_group_name_H-M_alt 'P 1'
_space_group_IT_number 1
loop_
_space_group_symop_operation_xyz
'x,y,z'
loop_
_atom_site_label
_atom_site_fract_x
_atom_site_fract_y
_atom_site_fract_z
Co1 0.575 0.575 0.151
Os1 0.174 0.674 0.347
Sr1 0.980 0.980 0.960
Sr2 0.771 0.271 0.542
```



This record from the Alexandria database describes a relaxed Sr2CoOs crystal. The functional is PBEsol.

**Volume**: 90 Å³ per cell
**ΔH_f (0 K)**: 1.061 eV per atom

Geometry as CIF:
```
data_Sr2CoOs
_cell_length_a 4.811
_cell_length_b 5.152
_cell_length_c 4.811
_cell_angle_alpha 62.16
_cell_angle_beta 90.00
_cell_angle_gamma 117.84
_space_group_name_H-M_alt 'P 1'
_space_group_IT_number 1
loop_
_space_group_symop_operation_xyz
'x,y,z'
loop_
_atom_site_label
_atom_site_fract_x
_atom_site_fract_y
_atom_site_fract_z
Co1 0.000 0.000 0.000
Os1 0.500 0.000 0.500
Sr1 0.250 0.500 0.250
Sr2 0.750 0.500 0.750
```